## Ba2VF7 (GGA+U)

Data for Ba2VF7 after structural relaxation.

Summary:
D(E_F)   0.000 states/eV/atom
Volume   312.9 Å³/cell
Size of the total moment   0.20 μB per atom
Electronic total energy   -5.826 eV/atom

Cell and atoms, written as POSCAR:
```
Ba2VF7
1.0
6.921 -3.241 0.000
6.921 3.241 0.000
-6.084 0.000 6.976
Ba V F
4 2 14
direct
0.153 0.210 0.084
0.210 0.153 0.584
0.790 0.847 0.416
0.847 0.790 0.916
0.439 0.561 0.750
0.561 0.439 0.250
0.120 0.880 0.750
0.185 0.599 0.203
0.217 0.432 0.478
0.260 0.560 0.846
0.401 0.815 0.297
0.432 0.217 0.978
0.440 0.740 0.654
0.560 0.260 0.346
0.568 0.783 0.022
0.599 0.185 0.703
0.740 0.440 0.154
0.783 0.568 0.522
0.815 0.401 0.797
0.880 0.120 0.250
```